Crystalline Na3La2PuS6 at its relaxed geometry. Source: Alexandria, functional PBE.

Cell lengths 7.2389, 7.2389, 7.0679 Å; angles 99.83, 99.83, 120.00 degrees
Closest atoms and distances in Å follow each position.
Positions (direct):
1 Na 0.0000 0.0000 0.0000  6 S 2.97-3.06
2 Na 0.3348 0.6652 0.0000  6 S 2.97-3.06
3 Na 0.6652 0.3348 0.0000  6 S 2.97-3.06
4 La 0.1668 0.8332 0.5000  6 S 2.89
5 La 0.8332 0.1668 0.5000  6 S 2.89
6 Pu 0.5000 0.5000 0.5000  6 S 2.80-2.81
7 S 0.0979 0.4225 0.2675  1 Pu 2.81, 2 La 2.89, 3 Na 2.97-3.06
8 S 0.2523 0.2523 0.7304  1 Pu 2.80, 2 La 2.89, 3 Na 2.97-3.06
9 S 0.4225 0.0979 0.2675  1 Pu 2.81, 2 La 2.89, 3 Na 2.97-3.06
10 S 0.5775 0.9021 0.7325  1 Pu 2.81, 2 La 2.89, 3 Na 2.97-3.06
11 S 0.7477 0.7477 0.2696  1 Pu 2.80, 2 La 2.89, 3 Na 2.97-3.06
12 S 0.9021 0.5775 0.7325  1 Pu 2.81, 2 La 2.89, 3 Na 2.97-3.06

Summary:
formation energy from raw total energies = -1.73 eV/atom
space-group type = C2/m (12)